{"formula": "La2FePH", "functional": "GGA-PBE", "state": "relaxed", "space_group": "P4/mmm", "volume_a3_per_atom": 19.0, "lattice": [[5.049, 0.000, 0.000], [0.000, 3.731, 0.000], [0.000, 0.000, 5.049]], "species": ["P", "Fe", "H", "La", "La"], "frac_coords": [[0.500, 0.500, 0.500], [0.000, 0.500, 0.000], [0.000, 0.000, 0.000], [0.000, 0.000, 0.500], [0.500, 0.000, 0.000]]}

{"formula": "La6FeHPb2", "functional": "GGA-PBE", "state": "relaxed", "space_group": "C2/m", "volume_a3_per_atom": 29.1, "lattice": [[-0.698, -6.824, 2.950], [6.524, 0.933, 3.510], [-5.401, 4.965, 0.887]], "species": ["La", "La", "La", "La", "La", "La", "Fe", "H", "Pb", "Pb"], "frac_coords": [[0.751, 0.751, 0.001], [0.755, 0.756, 0.508], [0.249, 0.249, 0.998], [0.743, 0.257, 0.000], [0.244, 0.245, 0.491], [0.257, 0.744, 0.000], [0.000, 0.000, 0.000], [0.500, 0.501, 0.000], [0.749, 0.251, 0.500], [0.250, 0.750, 0.500]]}

{"formula": "LaFeH6Pd", "functional": "GGA-PBE", "state": "relaxed", "space_group": "P-6m2", "volume_a3_per_atom": 9.1, "lattice": [[-3.626, -2.834, 0.661], [-0.556, -3.735, -2.713], [2.385, -2.397, 2.811]], "species": ["La", "Fe", "H", "H", "H", "H", "H", "H", "Pd"], "frac_coords": [[0.000, 0.000, 0.000], [0.333, 0.333, 0.500], [0.035, 0.483, 0.246], [0.483, 0.035, 0.754], [0.483, 0.483, 0.754], [0.035, 0.483, 0.754], [0.483, 0.483, 0.246], [0.483, 0.035, 0.246], [0.667, 0.667, 0.500]]}

{"formula": "LaFe2SnH", "functional": "GGA-PBE", "state": "relaxed", "space_group": "P4/mmm", "volume_a3_per_atom": 17.6, "lattice": [[4.408, 0.000, 0.000], [0.000, 4.523, 0.000], [0.000, 0.000, 4.408]], "species": ["Fe", "Fe", "H", "Sn", "La"], "frac_coords": [[0.000, 0.000, 0.500], [0.500, 0.000, 0.000], [0.000, 0.000, 0.000], [0.000, 0.500, 0.000], [0.500, 0.500, 0.500]]}

{"formula": "LaFe2SnH8", "functional": "GGA-PBE", "state": "relaxed", "space_group": "R-3m", "volume_a3_per_atom": 9.0, "lattice": [[4.691, 0.000, 0.000], [2.345, 4.062, 0.000], [2.345, 1.354, 5.686]], "species": ["La", "Fe", "Fe", "Sn", "H", "H", "H", "H", "H", "H", "H", "H"], "frac_coords": [[0.500, 0.500, 0.500], [0.304, 0.304, 0.089], [0.696, 0.696, 0.911], [0.000, 0.000, 0.000], [0.207, 0.207, 0.378], [0.482, 0.482, 0.143], [0.793, 0.793, 0.622], [0.893, 0.482, 0.143], [0.107, 0.518, 0.857], [0.482, 0.893, 0.143], [0.518, 0.107, 0.857], [0.518, 0.518, 0.857]]}

{"formula": "LaZnFeH6", "functional": "GGA-PBE", "state": "relaxed", "space_group": "P-6m2", "volume_a3_per_atom": 8.7, "lattice": [[4.513, 0.000, 0.000], [2.257, 3.909, 0.000], [0.000, 0.000, 4.429]], "species": ["La", "Zn", "Fe", "H", "H", "H", "H", "H", "H"], "frac_coords": [[0.000, 0.000, 0.000], [0.667, 0.667, 0.500], [0.333, 0.333, 0.500], [0.038, 0.481, 0.247], [0.481, 0.038, 0.753], [0.481, 0.481, 0.753], [0.038, 0.481, 0.753], [0.481, 0.481, 0.247], [0.481, 0.038, 0.247]]}

{"formula": "LaZnFeH2", "functional": "GGA-PBE", "state": "relaxed", "space_group": "P4/mmm", "volume_a3_per_atom": 14.8, "lattice": [[-2.568, -2.825, 1.230], [3.195, -1.671, 2.832], [-1.297, 2.444, 2.905]], "species": ["H", "H", "Zn", "Fe", "La"], "frac_coords": [[0.000, 0.000, 0.500], [0.500, 0.000, 0.000], [0.000, 0.500, 0.000], [0.000, 0.000, 0.000], [0.500, 0.500, 0.500]]}

{"formula": "LiFe3H", "functional": "GGA-PBE", "state": "relaxed", "space_group": "Pm-3m", "polymorph_energy_mev_per_atom": 1507, "volume_a3_per_atom": 12.9, "lattice": [[-0.486, 2.668, -2.954], [-3.690, -1.418, -0.673], [-1.492, 2.637, 2.627]], "species": ["H", "Fe", "Fe", "Fe", "Li"], "frac_coords": [[0.500, 0.500, 0.500], [0.000, 0.500, 0.000], [0.000, 0.000, 0.500], [0.500, 0.000, 0.000], [0.000, 0.000, 0.000]]}

no.,Fermi-level density of states (states/eV/cell),electronic total energy (eV for the cell shown)
1,2.5,-29.48
2,9.3,-52.48
3,3.5,-41.61
4,7.0,-27.20
5,4.1,-53.43
6,2.2,-37.42
7,3.9,-20.42
8,4.7,-22.41